Nd2Sm6Er3 | PBE | optimized geometry

Properties
The formation energy from the elements is 0.281 eV/atom. As for the symmetry: I4/mmm (139). The calculation puts the magnetization at 0.00 μB/cell. Its polymorph energy (0 for the lowest one) is 1.21 eV per formula unit.

Cell lengths 4.7800, 4.7800, 17.2099 Å; angles 97.98, 97.98, 90.00 degrees
Positions (direct):
Sm 0.6221 0.1221 0.2441
Sm 0.3779 0.8779 0.7559
Sm 0.6986 0.6986 0.3972
Sm 0.8779 0.3779 0.7559
Sm 0.1221 0.6221 0.2441
Sm 0.3014 0.3014 0.6028
Er 0.8004 0.8004 0.6008
Er 0.0000 0.0000 0.0000
Er 0.1996 0.1996 0.3992
Nd 0.4544 0.4544 0.9087
Nd 0.5456 0.5456 0.0913